one) Computed, not measured: a geometry-optimized Al2Co2Cl structure at the PBE level of DFT.

total magnetic moment	1.01	μB per cell
crystal system	tetragonal

Cell: 6.377 6.377 6.377 Å, 146.66 146.66 47.87°
Element x y z (fractional)
Al 0.250 0.750 0.500
Al 0.750 0.250 0.500
Co 0.113 0.113 0.000
Co 0.887 0.887 0.000
Cl 0.500 0.500 0.000

two) Computed, not measured: a geometry-optimized Al2Co2Cl structure at the PBE level of DFT.

total magnetic moment	0.00	μB per cell
crystal system	tetragonal

Cell: 6.847 6.847 2.922 Å, 90.00 90.00 90.00°
Element x y z (fractional)
Al 0.144 0.356 0.000
Al 0.356 0.856 0.000
Al 0.644 0.144 0.000
Al 0.856 0.644 0.000
Co 0.149 0.649 0.500
Co 0.351 0.149 0.500
Co 0.649 0.851 0.500
Co 0.851 0.351 0.500
Cl 0.000 0.000 0.500
Cl 0.500 0.500 0.500

Top of the stability list: two), leading by 260 meV/atom.

one) Computed, not measured: a geometry-optimized Al3CoCl structure at the PBE level of DFT.

total magnetic moment	1.72	μB per cell
crystal system	cubic

Cell: 4.760 4.760 4.760 Å, 90.00 90.00 90.00°
Element x y z (fractional)
Al 0.000 0.000 0.500
Al 0.000 0.500 0.000
Al 0.500 0.000 0.000
Co 0.500 0.500 0.500
Cl 0.000 0.000 0.000

two) Computed, not measured: a geometry-optimized Al3CoCl structure at the PBE level of DFT.

total magnetic moment	0.00	μB per cell
crystal system	cubic

Cell: 4.578 4.578 4.578 Å, 90.00 90.00 90.00°
Element x y z (fractional)
Al 0.000 0.000 0.500
Al 0.000 0.500 0.000
Al 0.500 0.000 0.000
Co 0.000 0.000 0.000
Cl 0.500 0.500 0.500

Top of the stability list: two), leading by 1317 meV/atom.

one) Computed, not measured: a geometry-optimized AlCo2Cl structure at the PBE level of DFT.

total magnetic moment	2.09	μB per cell
crystal system	orthorhombic

Cell: 2.919 4.294 4.326 Å, 90.00 90.00 90.00°
Element x y z (fractional)
Al 0.000 0.000 0.000
Co 0.000 0.500 0.297
Co 0.500 0.000 0.469
Cl 0.500 0.500 0.689

two) Computed, not measured: a geometry-optimized AlCo2Cl structure at the PBE level of DFT.

total magnetic moment	2.35	μB per cell
crystal system	orthorhombic

Cell: 3.123 6.492 6.492 Å, 27.24 90.00 90.00°
Element x y z (fractional)
Al 0.000 0.000 0.000
Co 0.500 0.396 0.396
Co 0.500 0.586 0.586
Cl 0.500 0.760 0.760

three) Computed, not measured: a geometry-optimized AlCo2Cl structure at the PBE level of DFT.

total magnetic moment	2.58	μB per cell
crystal system	orthorhombic

Cell: 6.041 6.041 6.041 Å, 152.64 143.01 46.62°
Element x y z (fractional)
Al 0.000 0.000 0.000
Co 0.453 0.453 0.000
Co 0.634 0.134 0.500
Cl 0.269 0.769 0.500

four) Computed, not measured: a geometry-optimized AlCo2Cl structure at the PBE level of DFT.

total magnetic moment	2.67	μB per cell
crystal system	orthorhombic

Cell: 2.818 4.032 4.891 Å, 90.00 90.00 90.00°
Element x y z (fractional)
Al 0.000 0.000 0.000
Co 0.000 0.500 0.500
Co 0.500 0.500 0.000
Cl 0.500 0.000 0.500

Top of the stability list: two), leading by 232 meV/atom.

one) Computed, not measured: a geometry-optimized AlCo2Cl structure at the PBE level of DFT.

total magnetic moment	2.76	μB per cell
crystal system	orthorhombic

Cell: 2.882 2.882 7.732 Å, 90.00 90.00 119.88°
Element x y z (fractional)
Al 0.000 0.000 0.000
Co 0.500 0.500 0.252
Co 0.500 0.500 0.748
Cl 0.000 0.000 0.500

two) Computed, not measured: a geometry-optimized AlCo2Cl structure at the PBE level of DFT.

total magnetic moment	2.07	μB per cell
crystal system	monoclinic

Cell: 4.284 4.284 6.873 Å, 120.41 120.41 38.58°
Element x y z (fractional)
Al 0.000 0.000 0.000
Co 0.358 0.358 0.164
Co 0.642 0.642 0.836
Cl 0.000 0.000 0.500

Top of the stability list: two), leading by 164 meV/atom.